Record 1
Here is a crystal of TbTlPd relaxed with PBEsol from Alexandria. Energies are from meta-GGA SCAN.

Output
magnetization = 0.0000 μB/atom
theoretical density = 12.10 g/cm³
energy relative to the elements = -0.78 eV/atom
VASP energy = -1.88938 Ha/atom

abc: 3.807 7.660 7.660
angles: 120.00 90.00 90.00
Element x y z (fractional)
Tb 0.500 0.405 0.405
Tb 0.500 0.595 0.000
Tb 0.500 0.000 0.595
Tl 0.000 0.735 0.735
Tl 0.000 0.265 0.000
Tl 0.000 0.000 0.265
Pd 0.500 0.000 0.000
Pd 0.000 0.667 0.333
Pd 0.000 0.333 0.667


Record 2
Here is a crystal of Tc3Pd relaxed with PBEsol from Alexandria. Energies are from meta-GGA SCAN.

Output
magnetization = 0.0000 μB/atom
theoretical density = 11.81 g/cm³
energy relative to the elements = 0.05 eV/atom
energy relative to the lowest polymorph listed for this composition = 0.160 eV/atom
VASP energy = -1.26554 Ha/atom

abc: 2.699 2.699 9.055
angles: 81.43 81.43 60.00
Element x y z (fractional)
Tc 0.752 0.752 0.744
Tc 0.500 0.500 0.500
Tc 0.248 0.248 0.256
Pd 0.000 0.000 0.000


Record 3
Here is a crystal of Tc3Pd relaxed with PBEsol from Alexandria. Energies are from meta-GGA SCAN.

Output
magnetization = 0.0000 μB/atom
theoretical density = 11.92 g/cm³
energy relative to the elements = -0.11 eV/atom
energy relative to the lowest polymorph listed for this composition = 0.000 eV/atom
VASP energy = -1.27143 Ha/atom

abc: 4.332 5.454 5.454
angles: 120.00 90.00 90.00
Element x y z (fractional)
Tc 0.750 0.841 0.159
Tc 0.750 0.841 0.682
Tc 0.750 0.318 0.159
Tc 0.250 0.159 0.841
Tc 0.250 0.159 0.318
Tc 0.250 0.682 0.841
Pd 0.250 0.667 0.333
Pd 0.750 0.333 0.667


Record 4
Here is a crystal of Tc3Pd relaxed with PBEsol from Alexandria. Energies are from meta-GGA SCAN.

Output
magnetization = 0.0000 μB/atom
theoretical density = 11.85 g/cm³
energy relative to the elements = 0.01 eV/atom
energy relative to the lowest polymorph listed for this composition = 0.120 eV/atom
VASP energy = -1.26703 Ha/atom

abc: 2.714 2.714 8.803
angles: 90.00 90.00 120.00
Element x y z (fractional)
Tc 0.000 0.000 0.000
Tc 0.667 0.333 0.244
Tc 0.667 0.333 0.756
Pd 0.000 0.000 0.500


Record 5
Here is a crystal of Tc3TePd relaxed with PBEsol from Alexandria. Energies are from meta-GGA SCAN.

Output
magnetization = 0.0000 μB/atom
theoretical density = 8.43 g/cm³
VASP energy = -1.21347 Ha/atom
formation energy without anion corrections = 2021 meV/atom

abc: 4.703 4.703 4.703
angles: 90.00 90.00 90.00
Element x y z (fractional)
Te 0.000 0.000 0.000
Tc 0.000 0.500 0.000
Tc 0.000 0.000 0.500
Tc 0.500 0.000 0.000
Pd 0.500 0.500 0.500


Record 6
Here is a crystal of Ti2TcPd relaxed with PBEsol from Alexandria. Energies are from meta-GGA SCAN.

Output
magnetization = 0.0006 μB/atom
theoretical density = 8.48 g/cm³
energy relative to the elements = -0.65 eV/atom
VASP energy = -0.94165 Ha/atom

abc: 4.364 4.364 4.364
angles: 60.00 60.00 60.00
Element x y z (fractional)
Tc 0.000 0.000 0.000
Pd 0.500 0.500 0.500
Ti 0.250 0.250 0.250
Ti 0.750 0.750 0.750


Record 7
Here is a crystal of TiTc3Pd relaxed with PBEsol from Alexandria. Energies are from meta-GGA SCAN.

Output
magnetization = 0.0000 μB/atom
theoretical density = 8.80 g/cm³
energy relative to the elements = 1.42 eV/atom
VASP energy = -1.07945 Ha/atom

abc: 4.390 4.390 4.390
angles: 90.00 90.00 90.00
Element x y z (fractional)
Tc 0.000 0.500 0.000
Tc 0.000 0.000 0.500
Tc 0.500 0.000 0.000
Pd 0.500 0.500 0.500
Ti 0.000 0.000 0.000


Record 8
Here is a crystal of Ti2TlTcPd relaxed with PBEsol from Alexandria. Energies are from meta-GGA SCAN.

Output
magnetization = 0.0372 μB/atom
theoretical density = 7.90 g/cm³
energy relative to the elements = 0.95 eV/atom
VASP energy = -1.23113 Ha/atom

abc: 4.653 4.653 4.897
angles: 90.00 90.00 90.00
Last column: magnetic moment on the atom in μB.
Element x y z (fractional)
Tl 0.000 0.000 0.500  -0.03
Tc 0.500 0.500 0.500  2.98
Pd 0.000 0.000 0.000  -0.15
Ti 0.000 0.500 0.000  -1.25
Ti 0.500 0.000 0.000  -1.25